A geometry-optimized Zr4BeN2 structure, computed with GGA-PBE.

E_form (uncorrected) = -1089 meV/atom
Fermi-level density of states = 0.4049 states/eV/atom
Space-group type = Cmcm (63)

a b c (Å): 3.3221 5.7791 11.5262
angles (deg): 90.00 90.00 106.70
Element x y z (fractional)
Zr  0.2358  0.4716  0.8895
N  0.8663  0.7325  0.5620
Zr  0.5000  0.0000  0.5000
Be  0.3884  0.7769  0.2500
Zr  0.9329  0.8657  0.7500
N  0.1337  0.2675  0.0620
N  0.1337  0.2675  0.4380
Be  0.6116  0.2231  0.7500
Zr  0.7642  0.5284  0.1105
Zr  0.2358  0.4716  0.6105
Zr  0.0671  0.1343  0.2500
Zr  0.7642  0.5284  0.3895
N  0.8663  0.7325  0.9380
Zr  0.5000  0.0000  0.0000

A geometry-optimized ZrCrTc structure, computed with GGA-PBE.

Fermi-level density of states = 1.3924 states/eV/atom
Polymorph energy (0 for the lowest one) = 1271.1 meV per atom
Space-group type = F-43m (216)

a b c (Å): 4.3879 4.3879 4.3879
angles (deg): 60.00 60.00 60.00
Element x y z (fractional)
Tc  0.5000  0.5000  0.5000
Cr  0.0000  0.0000  0.0000
Zr  0.7500  0.7500  0.7500

A geometry-optimized Sm3Tl3Cd2 structure, computed with GGA-PBE.

Fermi-level density of states = 0.6855 states/eV/atom
Polymorph energy (0 for the lowest one) = 0.0 meV per atom
Space-group type = Cmcm (63)

a b c (Å): 4.7902 6.3782 15.7810
angles (deg): 90.00 90.00 112.06
Element x y z (fractional)
Sm  0.3394  0.6789  0.7500
Sm  0.0712  0.1423  0.6141
Sm  0.9288  0.8577  0.1141
Sm  0.9288  0.8577  0.3859
Cd  0.7756  0.5512  0.8998
Sm  0.0712  0.1423  0.8859
Tl  0.6084  0.2168  0.0484
Cd  0.7756  0.5512  0.6002
Tl  0.3916  0.7832  0.5484
Cd  0.2244  0.4488  0.1002
Tl  0.3786  0.7572  0.2500
Tl  0.6214  0.2428  0.7500
Tl  0.6084  0.2168  0.4516
Sm  0.6606  0.3211  0.2500
Tl  0.3916  0.7832  0.9516
Cd  0.2244  0.4488  0.3998

A geometry-optimized Mg2ZrHg structure, computed with GGA-PBE.

Energy = -12.2 eV for the cell shown
Fermi-level density of states = 0.6022 states/eV/atom
Space-group type = R3m (160)

a b c (Å): 3.1672 3.1672 10.3971
angles (deg): 81.24 81.24 60.00
Element x y z (fractional)
Mg  0.0802  0.0802  0.7595
Zr  0.5006  0.5006  0.4983
Mg  0.2530  0.2530  0.2410
Hg  0.6663  0.6663  0.0012

A geometry-optimized Zr3ReW structure, computed with GGA-PBE.

Fermi-level density of states = 1.0949 states/eV/atom
Polymorph energy (0 for the lowest one) = 0.0 meV per atom
Space-group type = Pm-3m (221)

a b c (Å): 4.9675 4.9675 4.9675
angles (deg): 90.00 90.00 90.00
Element x y z (fractional)
Zr  0.5000  0.0000  0.0000
Zr  0.0000  0.5000  0.0000
Zr  0.0000  0.0000  0.5000
Re  0.0000  0.0000  0.0000
W  0.5000  0.5000  0.5000

A geometry-optimized HoHfAgRh structure, computed with GGA-PBE.

Energy = -26.4 eV for the cell shown
Fermi-level density of states = 0.7474 states/eV/atom
Space-group type = F-43m (216)

a b c (Å): 4.8370 4.8370 4.8370
angles (deg): 60.00 60.00 60.00
Element x y z (fractional)
Hf  0.2500  0.2500  0.2500
Rh  0.0000  0.0000  0.0000
Ag  0.5000  0.5000  0.5000
Ho  0.7500  0.7500  0.7500